Record 1
VASP calculation (PBE-GGA) on a relaxed structure of Ni2Pt4Rh.

Cell lengths 7.024, 7.024, 7.024 Å; angles 81.30, 125.14, 125.14 degrees
Element x y z (fractional)
Ni  0.778  0.139  0.639
Ni  0.222  0.861  0.361
Ni  0.500  0.639  0.861
Ni  0.500  0.361  0.139
Pt  0.814  0.810  0.310
Pt  0.186  0.496  0.996
Pt  0.500  0.310  0.496
Pt  0.500  0.996  0.810
Pt  0.500  0.004  0.190
Pt  0.500  0.690  0.504
Pt  0.814  0.504  0.004
Pt  0.186  0.190  0.690
Rh  0.000  0.250  0.250
Rh  0.000  0.750  0.750

- Symmetry: I4/mcm, No. 140
- Distance to the lowest polymorph of the same formula: 32 meV/atom

=====

Record 2
VASP calculation (PBE-GGA) on a relaxed structure of YScIn.

Cell lengths 7.088, 7.088, 3.426 Å; angles 76.01, 76.01, 27.98 degrees
Element x y z (fractional)
Y  0.662  0.662  0.338
Sc  0.345  0.345  0.655
In  0.993  0.993  0.007

- Symmetry: I4mm, No. 107
- Distance to the lowest polymorph of the same formula: 71 meV/atom

=====

Record 3
VASP calculation (PBE-GGA) on a relaxed structure of CeMg3Ag2.

Cell lengths 4.579, 9.329, 8.068 Å; angles 121.79, 90.00, 104.21 degrees
Last column: magnetic moment on the atom in μB.
Element x y z (fractional)
Ce  0.882  0.763  0.923  0.89
Ce  0.118  0.237  0.077  0.89
Mg  0.313  0.625  0.527  0.00
Mg  0.943  0.886  0.576  0.00
Mg  0.651  0.302  0.807  0.00
Mg  0.349  0.698  0.193  0.00
Mg  0.057  0.114  0.424  0.00
Mg  0.687  0.375  0.473  0.00
Ag  0.491  0.983  0.812  0.01
Ag  0.509  0.017  0.188  0.01
Ag  0.769  0.538  0.252  0.01
Ag  0.231  0.462  0.748  0.01

- VASP energy: -2.84 eV per atom
- Symmetry: C2/m, No. 12

=====

Record 4
VASP calculation (PBE-GGA) on a relaxed structure of Pu2AsS6.

Cell lengths 6.087, 6.087, 11.990 Å; angles 90.00, 90.00, 90.00 degrees
Last column: magnetic moment on the atom in μB.
Element x y z (fractional)
Pu  0.000  0.000  0.332  4.35
Pu  0.500  0.500  0.832  4.35
Pu  0.500  0.500  0.168  4.35
Pu  0.000  0.000  0.668  4.35
As  0.000  0.000  0.000  0.00
As  0.500  0.500  0.500  0.00
S  0.309  0.309  0.338  -0.21
S  0.691  0.691  0.338  -0.21
S  0.191  0.809  0.838  -0.21
S  0.809  0.191  0.838  -0.21
S  0.191  0.809  0.162  -0.21
S  0.809  0.191  0.162  -0.21
S  0.309  0.309  0.662  -0.21
S  0.691  0.691  0.662  -0.21
S  0.301  0.301  0.000  -0.23
S  0.699  0.699  0.000  -0.23
S  0.199  0.801  0.500  -0.23
S  0.801  0.199  0.500  -0.23

- VASP energy: -7.25 eV per atom
- Symmetry: P4_2/mnm, No. 136